Entry 1:
{"formula": "PuBiCl6", "functional": "GGA-PBE", "state": "optimized geometry", "cell": [[3.391, 1.958, 6.356], [-3.391, 1.958, 6.356], [0.000, -3.916, 6.356]], "species": ["Pu", "Bi", "Cl", "Cl", "Cl", "Cl", "Cl", "Cl"], "fractional_positions": [[0.000, 0.000, 0.000], [0.500, 0.500, 0.500], [0.092, 0.406, 0.754], [0.246, 0.908, 0.594], [0.406, 0.754, 0.092], [0.594, 0.246, 0.908], [0.754, 0.092, 0.406], [0.908, 0.594, 0.246]], "final_energy_ev_per_cell": -40.6}

Entry 2:
{"formula": "Ba3Ga2BiO9", "functional": "GGA-PBE", "state": "optimized geometry", "cell": [[5.853, 0.000, 0.000], [-2.927, 5.069, 0.000], [0.000, 0.000, 7.202]], "species": ["Ba", "Ba", "Ba", "Ga", "Ga", "Bi", "O", "O", "O", "O", "O", "O", "O", "O", "O"], "fractional_positions": [[0.000, 0.000, 0.000], [0.333, 0.667, 0.673], [0.667, 0.333, 0.327], [0.333, 0.667, 0.155], [0.667, 0.333, 0.845], [0.000, 0.000, 0.500], [0.000, 0.500, 0.000], [0.172, 0.343, 0.326], [0.172, 0.828, 0.326], [0.343, 0.172, 0.674], [0.500, 0.000, 0.000], [0.500, 0.500, 0.000], [0.657, 0.828, 0.326], [0.828, 0.172, 0.674], [0.828, 0.657, 0.674]], "final_energy_ev_per_cell": -88.8}

Entry 3:
{"formula": "HRu2N", "functional": "GGA-PBE", "state": "optimized geometry", "cell": [[-2.072, 2.072, 4.870], [2.072, -2.072, 4.870], [2.072, 2.072, -4.870]], "species": ["H", "H", "Ru", "Ru", "Ru", "Ru", "N", "N"], "fractional_positions": [[0.000, 0.000, 0.000], [0.750, 0.250, 0.500], [0.119, 0.625, 0.994], [0.375, 0.369, 0.494], [0.631, 0.125, 0.006], [0.875, 0.881, 0.506], [0.250, 0.750, 0.500], [0.500, 0.500, 0.000]], "e_above_lowest_polymorph_mev_per_atom": 0}

Entry 4:
{"formula": "CsNdZnS3", "functional": "GGA-PBE", "state": "optimized geometry", "cell": [[9.572, 0.000, 0.000], [0.000, 4.143, 0.000], [-3.338, 0.000, 9.368]], "species": ["Cs", "Cs", "Nd", "Nd", "Zn", "Zn", "S", "S", "S", "S", "S", "S"], "fractional_positions": [[0.207, 0.250, 0.237], [0.793, 0.750, 0.763], [0.333, 0.750, 0.855], [0.667, 0.250, 0.145], [0.081, 0.250, 0.610], [0.919, 0.750, 0.390], [0.126, 0.250, 0.852], [0.176, 0.750, 0.538], [0.468, 0.750, 0.152], [0.532, 0.250, 0.848], [0.824, 0.250, 0.462], [0.874, 0.750, 0.148]], "final_energy_ev_per_cell": -56.2}

Entry 5:
{"formula": "La2BeB", "functional": "GGA-PBE", "state": "optimized geometry", "cell": [[0.000, 3.491, 3.491], [3.491, 0.000, 3.491], [3.491, 3.491, 0.000]], "species": ["La", "La", "Be", "B"], "fractional_positions": [[0.250, 0.250, 0.250], [0.750, 0.750, 0.750], [0.000, 0.000, 0.000], [0.500, 0.500, 0.500]], "e_above_lowest_polymorph_mev_per_atom": 0, "delta_e_f_ev_per_atom": 0.3504}

Entry 6:
{"formula": "LiThCdCu", "functional": "GGA-PBE", "state": "optimized geometry", "cell": [[0.000, 3.431, 3.431], [3.431, 0.000, 3.431], [3.431, 3.431, 0.000]], "species": ["Li", "Th", "Cd", "Cu"], "fractional_positions": [[0.000, 0.000, 0.000], [0.250, 0.250, 0.250], [0.750, 0.750, 0.750], [0.500, 0.500, 0.500]], "delta_e_f_ev_per_atom": -0.0899}

| no. | theoretical density (g/cm³) |
| --- | --- |
| 1 | 4.4 |
| 2 | 7.0 |
| 3 | 8.6 |
| 4 | 3.9 |
| 5 | 5.8 |
| 6 | 8.5 |